1.
Density functional theory data (PBE) for an optimized crystal structure of BaPu2ZnN4.

a = 3.5717 Å, b = 6.2250 Å, c = 11.7092 Å
α = 90.00°, β = 90.00°, γ = 106.67°
Last column: nearest neighbours and their distance in Å.
Positions (direct):
Zn  0.1714  0.3427  0.2500  4 N 2.01-2.08
N  0.0000  0.0000  0.0000  4 Pu 2.46
N  0.2528  0.5056  0.0996  1 Zn 2.01, 1 Pu 2.25
N  0.4178  0.8356  0.7500  2 Zn 2.08
Pu  0.3682  0.7365  0.9476  6 N 2.25-2.46
Ba  0.9024  0.8047  0.2500  6 N 2.79-3.08
N  0.5822  0.1644  0.2500  2 Zn 2.08
Ba  0.0976  0.1953  0.7500  6 N 2.79-3.08
N  0.7472  0.4944  0.5996  1 Zn 2.01, 1 Pu 2.25
N  0.2528  0.5056  0.4004  1 Zn 2.01, 1 Pu 2.25
Pu  0.6318  0.2635  0.0524  6 N 2.25-2.46
N  0.7472  0.4944  0.9004  1 Zn 2.01, 1 Pu 2.25
N  0.0000  0.0000  0.5000  4 Pu 2.46
Pu  0.3682  0.7365  0.5524  6 N 2.25-2.46
Zn  0.8286  0.6573  0.7500  4 N 2.01-2.08
Pu  0.6318  0.2635  0.4476  6 N 2.25-2.46

Output
Its uncorrected formation energy is -0.8903 eV/atom.

***

2.
Density functional theory data (PBE) for an optimized crystal structure of BaPuZrN3.

a = 3.4761 Å, b = 10.1992 Å, c = 6.7725 Å
α = 110.90°, β = 90.00°, γ = 90.00°
Last column: nearest neighbours and their distance in Å.
Positions (direct):
N  0.7500  0.7701  0.1101  1 Pu 1.98
N  0.7500  0.1962  0.5319  1 Zr 2.23, 2 Pu 2.31
N  0.7500  0.5007  0.1932  3 Zr 2.25-2.26
Ba  0.7500  0.6880  0.6938  5 N 2.64-2.89
Ba  0.2500  0.3120  0.3062  5 N 2.64-2.89
Zr  0.7500  0.3696  0.8460  6 N 2.23-2.33
N  0.2500  0.2299  0.8899  1 Pu 1.98
N  0.2500  0.8038  0.4681  1 Zr 2.23, 2 Pu 2.31
Pu  0.7500  0.9252  0.3889  1 N 1.98
Pu  0.2500  0.0748  0.6111  1 N 1.98
N  0.2500  0.4993  0.8068  3 Zr 2.25-2.26
Zr  0.2500  0.6304  0.1540  6 N 2.23-2.33

Output
Its uncorrected formation energy is -0.9649 eV/atom.

***

3.
Density functional theory data (PBE) for an optimized crystal structure of RbBa2N.

a = 4.1595 Å, b = 4.1643 Å, c = 11.9446 Å
α = 90.75°, β = 90.00°, γ = 119.96°
Last column: nearest neighbours and their distance in Å.
Positions (direct):
N  0.0000  0.0000  0.5000  6 Ba 2.82-2.83
Ba  0.6696  0.3392  0.6244  3 N 2.82-2.83
Rb  0.0000  0.0000  0.0000  6 Rb 4.16
Ba  0.3304  0.6608  0.3756  3 N 2.82-2.83

Output
Its uncorrected formation energy is -0.2335 eV/atom.

***

4.
Density functional theory data (PBE) for an optimized crystal structure of RbBa2N.

a = 4.1431 Å, b = 4.1431 Å, c = 12.4414 Å
α = 80.42°, β = 80.42°, γ = 60.00°
Last column: nearest neighbours and their distance in Å.
Positions (direct):
Ba  0.8740  0.8740  0.3780  3 N 2.82
Ba  0.1260  0.1260  0.6220  3 N 2.82
Rb  0.0000  0.0000  0.0000  6 Rb 4.14, 2 Ba 4.61
N  0.5000  0.5000  0.5000  6 Ba 2.82

Output
Its uncorrected formation energy is -0.2212 eV/atom.